Density functional theory data (PBE-GGA) for crystalline AlInCuNi at its relaxed geometry.

Cell lengths 4.349, 4.349, 4.349 Å; angles 60.00, 60.00, 60.00 degrees
Sites, in units of the cell vectors:
Al 0.000 0.000 0.000
In 0.500 0.500 0.500
Cu 0.750 0.750 0.750
Ni 0.250 0.250 0.250

Calculated values
- VASP energy (eV per atom) = -4.23
- DFT formation energy (eV/atom) = -0.136
- magnetic moment (μB per atom) = 0.000